No. 1
{
  "formula": "Dy2Zn2GaRh5",
  "functional": "PBE",
  "state": "relaxed",
  "dos_ef_per_ev_cell": 11.79,
  "e_tot_ha_per_atom": -0.21272,
  "cell": [[-3.381, 0.189, 1.103], [1.536, -7.434, 5.982], [2.621, 6.155, 6.976]],
  "species": ["Dy", "Dy", "Dy", "Dy", "Zn", "Zn", "Zn", "Zn", "Ga", "Ga", "Rh", "Rh", "Rh", "Rh", "Rh", "Rh", "Rh", "Rh", "Rh", "Rh"],
  "frac_coords": [[0.000, 0.673, 0.173], [0.000, 0.327, 0.827], [0.000, 0.173, 0.327], [0.000, 0.827, 0.673], [0.000, 0.127, 0.627], [0.000, 0.873, 0.373], [0.000, 0.627, 0.873], [0.000, 0.373, 0.127], [0.000, 0.000, 0.000], [0.000, 0.500, 0.500], [0.500, 0.198, 0.065], [0.500, 0.802, 0.935], [0.500, 0.065, 0.802], [0.500, 0.698, 0.435], [0.500, 0.935, 0.198], [0.500, 0.302, 0.565], [0.500, 0.565, 0.698], [0.500, 0.435, 0.302], [0.500, 0.500, 0.000], [0.500, 0.000, 0.500]]
}

=====

No. 2
{
  "formula": "EuZnSn4",
  "functional": "PBE",
  "state": "relaxed",
  "dos_ef_per_ev_cell": 11.86,
  "e_tot_ha_per_atom": -0.17322,
  "cell": [[-1.763, 5.892, 0.766], [-2.339, 3.181, -4.777], [-6.020, 1.470, -0.094]],
  "species": ["Eu", "Zn", "Sn", "Sn", "Sn", "Sn"],
  "frac_coords": [[0.250, 0.250, 0.250], [0.000, 0.000, 0.000], [0.626, 0.626, 0.123], [0.626, 0.123, 0.626], [0.626, 0.626, 0.626], [0.123, 0.626, 0.626]]
}

=====

No. 3
{
  "formula": "AcPrI2",
  "functional": "PBE",
  "state": "relaxed",
  "e_above_lowest_polymorph_kj_per_mol_atoms": 12.1,
  "dos_ef_per_ev_cell": 3.73,
  "e_tot_ha_per_atom": -0.13942,
  "formation_energy_uncorrected_mev_per_atom": -797,
  "cell": [[-3.985, 0.640, 0.292], [-1.754, 0.206, 3.641], [-0.086, 11.554, 1.554]],
  "species": ["Pr", "I", "I", "Ac"],
  "frac_coords": [[0.000, 0.000, 0.000], [0.093, 0.093, 0.720], [0.907, 0.907, 0.280], [0.500, 0.500, 0.500]]
}